[1]
Material: PrHf2PtN4
Method: DFT, PBE
State: relaxed

For the calculated volume, the calculation gives 13.49 Å³ per atom. As for the uncorrected formation energy: -1032.2 meV per atom. For the density of states at the Fermi level, the calculation gives 1.14 states/eV/f.u.

Lattice parameters (Å, degrees): 3.2953 11.3077 11.5824 90.00 90.00 90.00
Last column: nearest neighbours and their distance in Å.
Space group Cmcm (No. 63)
Inequivalent atoms, fractional coordinates:
Pr  0.0000  0.1178  0.2500 [4 per cell]  2 N 2.41
Hf  0.0000  0.3687  0.0502 [8 per cell]  5 N 2.10-2.34
Pt  0.0000  0.1465  0.7500 [4 per cell]  4 N 2.06-2.20
N  0.0000  0.0000  0.0000 [4 per cell]  4 Hf 2.29
N  0.0000  0.2683  0.6023 [8 per cell]  3 Hf 2.10-2.34, 1 Pt 2.20
N  0.0000  0.4626  0.2500 [4 per cell]  2 Pt 2.06

=====

[2]
Material: Ca3Ge5Te12
Method: DFT, PBE
State: relaxed

For the calculated volume, the calculation gives 33.31 Å³ per atom. As for the uncorrected formation energy: -420.3 meV per atom. For the density of states at the Fermi level, the calculation gives 10.74 states/eV/f.u.

Lattice parameters (Å, degrees): 17.4670 17.4670 17.4670 90.00 90.00 90.00
Last column: nearest neighbours and their distance in Å.
Space group Ia-3d (No. 230)
Inequivalent atoms, fractional coordinates:
Ca  0.0000  0.2500  0.1250 [24 per cell]  8 Te 3.31-3.36
Ge  0.0000  0.0000  0.0000 [16 per cell]  6 Te 2.90
Ge  0.0000  0.2500  0.3750 [24 per cell]  4 Te 2.67
Te  0.0254  0.0614  0.6520 [96 per cell]  2 Ge 2.67-2.90

=====

[3]
Material: Nd4ErTm5
Method: DFT, PBE
State: relaxed

For the calculated volume, the calculation gives 33.56 Å³ per atom. As for the total energy: -87.20 eV for the cell shown. For the density of states at the Fermi level, the calculation gives 12.43 states/eV/f.u.

Lattice parameters (Å, degrees): 10.6791 10.6791 5.8862 90.00 90.00 90.00
Last column: nearest neighbours and their distance in Å.
Space group I4mm (No. 107)
Inequivalent atoms, fractional coordinates:
Nd  0.0000  0.3226  0.0000 [8 per cell]  3 Tm 3.33-3.72
Er  0.0000  0.0000  0.2415 [2 per cell]  2 Tm 2.82-3.06
Tm  0.0000  0.0000  0.7620 [2 per cell]  2 Er 2.82-3.06
Tm  0.1886  0.1886  0.5026 [8 per cell]  3 Tm 3.23-3.48, 1 Er 3.24, 2 Nd 3.33

=====

[4]
Material: Ga2HgAu6
Method: DFT, PBE
State: relaxed

For the calculated volume, the calculation gives 19.19 Å³ per atom. As for the total energy: -106.88 eV for the cell shown. For the density of states at the Fermi level, the calculation gives 2.80 states/eV/f.u.

Lattice parameters (Å, degrees): 12.2420 9.3281 6.0846 90.00 96.21 90.00
Last column: nearest neighbours and their distance in Å.
Space group C2/c (No. 15)
Inequivalent atoms, fractional coordinates:
Ga  0.1514  0.1008  0.1814 [8 per cell]  7 Au 2.64-2.78
Hg  0.0000  0.4403  0.2500 [4 per cell]  6 Au 2.83-3.07
Au  0.0465  0.1515  0.5369 [8 per cell]  3 Ga 2.67-2.78, 4 Au 2.85-2.94
Au  0.1450  0.3230  0.9094 [8 per cell]  2 Ga 2.65-2.71, 3 Au 2.86-2.93, 1 Hg 2.93
Au  0.2209  0.3874  0.4159 [8 per cell]  2 Ga 2.64-2.76, 3 Au 2.82-2.86, 1 Hg 2.83

=====

[5]
Material: MoAsAu2
Method: DFT, PBE
State: relaxed

For the calculated volume, the calculation gives 18.56 Å³ per atom. As for the total energy: -82.08 eV for the cell shown. For the density of states at the Fermi level, the calculation gives 0.94 states/eV/f.u.

Lattice parameters (Å, degrees): 7.5250 7.5250 5.2443 90.00 90.00 90.00
Last column: nearest neighbours and their distance in Å.
Space group I-42d (No. 122)
Inequivalent atoms, fractional coordinates:
Mo  0.0000  0.0000  0.0000 [4 per cell]  2 As 2.62, 4 Au 2.82
As  0.0000  0.0000  0.5000 [4 per cell]  2 Mo 2.62, 4 Au 2.66
Au  0.2348  0.7500  0.6250 [8 per cell]  2 Au 2.63, 2 As 2.66, 2 Mo 2.82

=====

[6]
Material: CrHS
Method: DFT, PBE
State: relaxed

For the calculated volume, the calculation gives 10.67 Å³ per atom. As for the total energy: -34.74 eV for the cell shown. For the density of states at the Fermi level, the calculation gives 1.12 states/eV/f.u.

Lattice parameters (Å, degrees): 3.0343 3.0549 6.9037 90.00 90.00 90.00
Last column: nearest neighbours and their distance in Å.
Space group Imm2 (No. 44)
Inequivalent atoms, fractional coordinates:
Cr  0.0000  0.0000  0.0000 [2 per cell]  2 H 1.68
H  0.0000  0.5000  0.6057 [2 per cell]  2 Cr 1.68
S  0.0000  0.5000  0.2458 [2 per cell]  4 Cr 2.28-2.32, 5 H 2.36-2.48

=====

[7]
Material: Be4TlAs3O12
Method: DFT, PBE
State: relaxed

For the calculated volume, the calculation gives 10.40 Å³ per atom. As for the uncorrected formation energy: -1588.0 meV per atom. For the density of states at the Fermi level, the calculation gives 0.04 states/eV/f.u.

Lattice parameters (Å, degrees): 9.9127 9.9127 7.3307 90.00 90.00 120.00
Last column: nearest neighbours and their distance in Å.
Space group R32 (No. 155, hexagonal axes)
Inequivalent atoms, fractional coordinates:
Be  0.0000  0.0000  0.0000 [3 per cell]  3 O 1.60
Be  0.0000  0.4323  0.0000 [9 per cell]  3 O 1.54-1.63
Tl  0.0000  0.0000  0.5000 [3 per cell]  6 O 2.56
As  0.0000  0.5568  0.5000 [9 per cell]  4 O 1.76-1.93
O  0.0000  0.5964  0.0000 [9 per cell]  1 Be 1.63
O  0.0000  0.8389  0.0000 [9 per cell]  1 Be 1.60
O  0.0505  0.2286  0.7060 [18 per cell]  1 Be 1.54

=====

[8]
Material: Rb2LiRuF6
Method: DFT, PBE
State: relaxed

For the calculated volume, the calculation gives 14.79 Å³ per atom. As for the uncorrected formation energy: -2382.8 meV per atom. For the density of states at the Fermi level, the calculation gives 10.43 states/eV/f.u.

Lattice parameters (Å, degrees): 8.3954 8.3954 8.3954 90.00 90.00 90.00
Last column: nearest neighbours and their distance in Å.
Space group Fm-3m (No. 225)
Inequivalent atoms, fractional coordinates:
Rb  0.2500  0.2500  0.2500 [8 per cell]  12 F 2.97
Li  0.0000  0.0000  0.0000 [4 per cell]  6 F 2.16
Ru  0.0000  0.0000  0.5000 [4 per cell]  6 F 2.04
F  0.0000  0.0000  0.2569 [24 per cell]  1 Ru 2.04, 1 Li 2.16

=====

[9]
Material: CaTa2Os
Method: DFT, PBE
State: relaxed

For the calculated volume, the calculation gives 18.62 Å³ per atom. As for the total energy: -68.72 eV for the cell shown. For the density of states at the Fermi level, the calculation gives 4.58 states/eV/f.u.

Lattice parameters (Å, degrees): 5.5680 9.6932 2.7603 90.00 90.00 90.00
Last column: nearest neighbours and their distance in Å.
Space group Cmmm (No. 65)
Inequivalent atoms, fractional coordinates:
Ca  0.0000  0.0000  0.0000 [2 per cell]  2 Ca 2.76, 2 Os 2.78
Ta  0.2500  0.2500  0.5000 [4 per cell]  4 Ta 2.76-2.78
Os  0.0000  0.5000  0.0000 [2 per cell]  2 Os 2.76, 2 Ca 2.78

=====

[10]
Material: PmThCoAg
Method: DFT, PBE
State: relaxed

For the calculated volume, the calculation gives 23.36 Å³ per atom. As for the total energy: -88.98 eV for the cell shown. For the density of states at the Fermi level, the calculation gives 3.83 states/eV/f.u.

Lattice parameters (Å, degrees): 7.2029 7.2029 7.2029 90.00 90.00 90.00
Last column: nearest neighbours and their distance in Å.
Space group F-43m (No. 216)
Inequivalent atoms, fractional coordinates:
Pm  0.0000  0.0000  0.0000 [4 per cell]  4 Co 3.12, 4 Ag 3.12
Th  0.0000  0.0000  0.5000 [4 per cell]  4 Co 3.12, 4 Ag 3.12
Co  0.2500  0.2500  0.7500 [4 per cell]  4 Th 3.12, 4 Pm 3.12
Ag  0.2500  0.2500  0.2500 [4 per cell]  4 Th 3.12, 4 Pm 3.12

=====

[11]
Material: HoIn3Ni
Method: DFT, PBE
State: relaxed

For the calculated volume, the calculation gives 21.93 Å³ per atom. As for the total energy: -80.75 eV for the cell shown. For the density of states at the Fermi level, the calculation gives 2.41 states/eV/f.u.

Lattice parameters (Å, degrees): 8.8788 4.2967 11.4957 90.00 90.00 90.00
Last column: nearest neighbours and their distance in Å.
Space group Pnma (No. 62)
Inequivalent atoms, fractional coordinates:
Ho  0.1919  0.2500  0.0042 [4 per cell]  8 In 3.22-3.42, 2 Ni 3.24
In  0.0584  0.2500  0.5832 [4 per cell]  3 Ni 2.64-2.72
In  0.1026  0.7500  0.8043 [4 per cell]  2 Ni 2.60-2.66
In  0.1482  0.7500  0.2139 [4 per cell]  2 Ni 2.73, 2 In 2.97-3.01
Ni  0.1123  0.2500  0.3574 [4 per cell]  7 In 2.60-2.73

=====

[12]
Material: CaYGaSi
Method: DFT, PBE
State: relaxed

For the calculated volume, the calculation gives 23.83 Å³ per atom. As for the uncorrected formation energy: -620.6 meV per atom. For the density of states at the Fermi level, the calculation gives 2.41 states/eV/f.u.

Lattice parameters (Å, degrees): 4.0030 4.3827 10.8678 90.00 90.00 90.00
Last column: nearest neighbours and their distance in Å.
Space group Amm2 (No. 38)
Inequivalent atoms, fractional coordinates:
Ca  0.0000  0.0000  0.0000 [2 per cell]  4 Ga 3.07, 3 Si 3.07-3.22
Y  0.5000  0.0000  0.2794 [2 per cell]  4 Si 3.04, 3 Ga 3.15-3.17
Ga  0.5000  0.0000  0.5707 [2 per cell]  2 Si 2.56
Si  0.0000  0.0000  0.7176 [2 per cell]  2 Ga 2.56

=====

[13]
Material: Y2TcBr
Method: DFT, PBE
State: relaxed

For the calculated volume, the calculation gives 22.93 Å³ per atom. As for the uncorrected formation energy: -317.7 meV per atom. For the density of states at the Fermi level, the calculation gives 1.71 states/eV/f.u.

Lattice parameters (Å, degrees): 3.5665 4.8092 5.6286 90.00 108.21 90.00
Last column: nearest neighbours and their distance in Å.
Space group Pm (No. 6)
Inequivalent atoms, fractional coordinates:
Y  0.0000  0.0000  0.0000 [1 per cell]  1 Tc 2.73, 4 Br 3.04-3.06
Y  0.2671  0.5000  0.5630 [1 per cell]  3 Br 2.91-3.03, 4 Tc 3.00-3.03
Tc  0.7236  0.0000  0.4896 [1 per cell]  5 Y 2.73-3.03
Br  0.5491  0.5000  0.1077 [1 per cell]  7 Y 2.91-3.06, 2 Tc 3.16

=====

[14]
Material: Ho2GaSn3
Method: DFT, PBE
State: relaxed

For the calculated volume, the calculation gives 28.14 Å³ per atom. As for the total energy: -102.09 eV for the cell shown. For the density of states at the Fermi level, the calculation gives 3.35 states/eV/f.u.

Lattice parameters (Å, degrees): 12.8009 9.0510 5.8299 90.00 90.00 90.00
Last column: nearest neighbours and their distance in Å.
Space group Cmcm (No. 63)
Inequivalent atoms, fractional coordinates:
Ho  0.1446  0.1942  0.2500 [8 per cell]  5 Sn 3.13-3.18
Ga  0.0000  0.3843  0.7500 [4 per cell]  5 Sn 2.72-2.95
Sn  0.0000  0.0844  0.7500 [4 per cell]  1 Ga 2.72
Sn  0.1826  0.5000  0.0000 [8 per cell]  2 Sn 2.91, 2 Ga 2.95, 4 Ho 3.17-3.18

=====

[15]
Material: SrTl2CdPb
Method: DFT, PBE
State: relaxed

For the calculated volume, the calculation gives 33.11 Å³ per atom. As for the total energy: -46.46 eV for the cell shown. For the density of states at the Fermi level, the calculation gives 2.65 states/eV/f.u.

Lattice parameters (Å, degrees): 5.1269 12.9786 9.9508 90.00 90.00 90.00
Last column: nearest neighbours and their distance in Å.
Space group Cmcm (No. 63)
Inequivalent atoms, fractional coordinates:
Sr  0.0000  0.1938  0.2500 [4 per cell]  6 Tl 3.39-3.46, 2 Pb 3.54, 1 Cd 3.65
Tl  0.0000  0.3489  0.5238 [8 per cell]  2 Cd 3.18-3.20, 2 Pb 3.24, 3 Sr 3.39-3.46
Cd  0.0000  0.4754  0.2500 [4 per cell]  4 Tl 3.18-3.20
Pb  0.0000  0.0000  0.0000 [4 per cell]  4 Tl 3.24, 2 Sr 3.54, 4 Cd 3.59

=====

[16]
Material: Li2CuPd4
Method: DFT, PBE
State: relaxed

For the calculated volume, the calculation gives 15.72 Å³ per atom. As for the total energy: -119.11 eV for the cell shown. For the density of states at the Fermi level, the calculation gives 5.15 states/eV/f.u.

Lattice parameters (Å, degrees): 5.2962 9.4591 8.7876 90.00 90.00 90.00
Last column: nearest neighbours and their distance in Å.
Space group Cccm (No. 66)
Inequivalent atoms, fractional coordinates:
Li  0.0996  0.1148  0.0000 [8 per cell]  1 Li 2.41, 4 Pd 2.55-2.60
Cu  0.0000  0.5000  0.2500 [4 per cell]  8 Pd 2.58-2.71
Pd  0.0888  0.3654  0.5000 [8 per cell]  4 Li 2.57-2.88, 2 Cu 2.58, 4 Pd 2.71-2.77
Pd  0.2500  0.2500  0.2336 [8 per cell]  2 Li 2.55, 4 Pd 2.66-2.72, 2 Cu 2.71

=====

[17]
Material: Mn4TePb
Method: DFT, PBE
State: relaxed

For the calculated volume, the calculation gives 16.64 Å³ per atom. As for the uncorrected formation energy: 492.6 meV per atom. For the density of states at the Fermi level, the calculation gives 4.41 states/eV/f.u.

Lattice parameters (Å, degrees): 7.3637 7.3637 7.3637 90.00 90.00 90.00
Last column: nearest neighbours and their distance in Å.
Space group F-43m (No. 216)
Inequivalent atoms, fractional coordinates:
Mn  0.1248  0.1248  0.1248 [16 per cell]  6 Mn 2.60-2.61
Te  0.2500  0.2500  0.7500 [4 per cell]  12 Mn 3.05, 4 Pb 3.19
Pb  0.0000  0.0000  0.5000 [4 per cell]  12 Mn 3.05, 4 Te 3.19

=====

[18]
Material: PaMnCr
Method: DFT, PBE
State: relaxed

For the calculated volume, the calculation gives 15.58 Å³ per atom. As for the total energy: -113.24 eV for the cell shown. For the density of states at the Fermi level, the calculation gives 3.47 states/eV/f.u.

Lattice parameters (Å, degrees): 4.4465 5.5472 7.5814 90.00 90.00 90.00
Last column: nearest neighbours and their distance in Å.
Space group Imma (No. 74)
Inequivalent atoms, fractional coordinates:
Pa  0.0000  0.2500  0.1220 [4 per cell]  4 Mn 2.78, 2 Pa 2.95, 2 Cr 3.03
Mn  0.0000  0.0000  0.5000 [4 per cell]  4 Cr 2.60, 2 Mn 2.77, 4 Pa 2.78
Cr  0.2500  0.2500  0.7500 [4 per cell]  2 Cr 2.22

=====

[19]
Material: Te2Cl
Method: DFT, PBE
State: relaxed

For the calculated volume, the calculation gives 26.32 Å³ per atom. As for the uncorrected formation energy: 203.6 meV per atom. For the density of states at the Fermi level, the calculation gives 2.25 states/eV/f.u.

Lattice parameters (Å, degrees): 5.0091 5.0091 7.2675 90.00 90.00 120.00
Last column: nearest neighbours and their distance in Å.
Space group P6_3/mmc (No. 194)
Inequivalent atoms, fractional coordinates:
Te  0.0000  0.0000  0.0000 [2 per cell]  6 Cl 3.42, 8 Te 3.42-3.63
Te  0.3333  0.6667  0.2500 [2 per cell]  3 Cl 2.89
Cl  0.3333  0.6667  0.7500 [2 per cell]  3 Te 2.89